Here is a relaxed ZrSi3Os crystal from Alexandria via LeMat-Bulk. Energies are from PBE.

Unit cell a=4.629 b=4.629 c=4.629 alpha=90.00 beta=90.00 gamma=90.00
Site moments in Bohr magnetons follow the coordinates.
Atoms (fractional coordinates):
Si 0.000 0.500 0.000  0.01
Si 0.000 0.000 0.500  -0.01
Si 0.500 0.000 0.000  0.01
Os 0.000 0.000 0.000  0.18
Zr 0.500 0.500 0.500  0.45

Computed properties:
formation energy from raw total energies	0.629	eV per atom
calculated volume	99.2	Å³ per cell
final energy	-32.90	eV/cell
SG	Pm-3m (221)
E above lowest polymorph	0.000	eV/f.u.